[1]
VASP calculation (GGA-PBE) on a relaxed Pr2Nd2Pb crystal.

Cell and atoms, written as POSCAR:
```
Pr2Nd2Pb
1.0
5.617 0.000 0.000
-2.809 4.865 0.000
0.000 0.000 12.656
Pr Nd Pb
4 4 2
direct
0.333 0.667 0.584
0.667 0.333 0.084
0.667 0.333 0.416
0.333 0.667 0.916
0.667 0.333 0.750
0.000 0.000 0.000
0.000 0.000 0.500
0.333 0.667 0.250
0.000 0.000 0.250
0.000 0.000 0.750
```

Computed properties:
As for the energy of formation from the pure elements: -0.098 eV/atom. The space group is P6_3/mmc (194).

***

[2]
VASP calculation (GGA-PBE) on a relaxed BiPAu2 crystal.

Cell and atoms, written as POSCAR:
```
BiPAu2
1.0
-3.055 -3.197 -2.533
3.569 -0.564 -3.593
3.185 -7.706 0.759
P Au Bi
2 4 2
direct
0.500 0.500 0.000
0.250 0.750 0.500
0.518 0.125 0.250
0.232 0.625 0.250
0.375 0.482 0.750
0.875 0.768 0.750
0.000 0.000 0.000
0.750 0.250 0.500
```

Computed properties:
As for the energy of formation from the pure elements: 0.095 eV/atom. The space group is I-42d (122). The value obtained for the offset from the most stable computed form is 0 meV per atom.

***

[3]
VASP calculation (GGA-PBE) on a relaxed SmDy3Pt crystal.

Cell and atoms, written as POSCAR:
```
SmDy3Pt
1.0
-2.881 -4.395 1.565
4.638 -2.501 1.515
-0.501 2.120 5.032
Sm Pt Dy
1 1 3
direct
0.500 0.500 0.500
0.000 0.000 0.000
0.000 0.500 0.000
0.000 0.000 0.500
0.500 0.000 0.000
```

Computed properties:
As for the energy of formation from the pure elements: -0.353 eV/atom. The space group is Pm-3m (221). The value obtained for the offset from the most stable computed form is 114 meV per atom.

***

[4]
VASP calculation (GGA-PBE) on a relaxed Ba3Ta2S9 crystal.

Cell and atoms, written as POSCAR:
```
Ba3Ta2S9
1.0
8.881 0.196 1.008
0.922 8.835 1.008
0.213 0.196 8.935
Ba Ta S
6 4 18
direct
0.420 0.750 0.080
0.250 0.920 0.580
0.920 0.580 0.250
0.080 0.420 0.750
0.750 0.080 0.420
0.580 0.250 0.920
0.150 0.150 0.150
0.650 0.650 0.650
0.850 0.850 0.850
0.350 0.350 0.350
0.738 0.919 0.086
0.081 0.914 0.262
0.250 0.412 0.088
0.581 0.762 0.414
0.588 0.912 0.750
0.912 0.750 0.588
0.238 0.586 0.419
0.586 0.419 0.238
0.914 0.262 0.081
0.086 0.738 0.919
0.414 0.581 0.762
0.412 0.088 0.250
0.762 0.414 0.581
0.088 0.250 0.412
0.419 0.238 0.586
0.750 0.588 0.912
0.919 0.086 0.738
0.262 0.081 0.914
```

Computed properties:
The space group is R-3c (167). As for the energy relative to the elements, uncorrected: -1313 meV per atom.